DFT (PBE) results for crystalline La4CuRh3 at its relaxed geometry.

Values from the calculation:
Density of states at the Fermi level   4.87 states/eV per cell
DFT formation energy   -0.632 eV per atom
Calculated density   7.93 g/cm3

Unit cell a=4.002 b=4.417 c=10.996 alpha=90.00 beta=90.00 gamma=90.00
Space group Pmm2 (No. 25)
Inequivalent atoms, fractional coordinates:
La1 0.000 0.000 0.000
La2 0.000 0.500 0.267
La3 0.500 0.000 0.487
La4 0.500 0.500 0.768
Cu1 0.000 0.000 0.702
Rh1 0.000 0.500 0.554
Rh2 0.500 0.000 0.224
Rh3 0.500 0.500 0.029